A plane-wave DFT calculation with GGA-PBE was carried out for a relaxed SrY2Si crystal.

Calculated values
Mass density   3.64 g cm⁻³
ΔE_f (raw)   -4 meV/atom
SG   I-42d (122)

```
SrY2Si
1.0
-4.501 4.501 3.307
4.501 -4.501 3.307
4.501 4.501 -3.307
Sr Y Si
2 4 2
Cartesian
0.000 0.000 0.000
0.000 4.501 1.653
2.251 2.961 -0.827
6.041 2.251 0.827
2.251 1.540 2.480
-1.540 2.251 4.133
4.501 0.000 1.653
0.000 0.000 3.307
```

***

A plane-wave DFT calculation with GGA-PBE was carried out for a relaxed RbTmCd crystal.

Calculated values
Mass density   5.34 g cm⁻³
SG   Amm2 (38)
Formation energy from the elements   261.6 meV per atom

```
RbTmCd
1.0
17.894 0.000 0.000
0.000 1.920 3.318
0.000 -1.920 3.318
Rb Tm Cd
2 2 2
Cartesian
3.107 0.000 0.000
14.788 0.000 0.000
6.733 0.000 2.237
11.161 0.000 2.237
0.000 0.000 2.229
8.947 0.000 0.023
```

***

A plane-wave DFT calculation with GGA-PBE was carried out for a relaxed BaSr2LiPd crystal.

Calculated values
Mass density   3.57 g cm⁻³
Distance to the lowest polymorph of the same formula   0.0741 eV/atom
SG   P4/mmm (123)
Formation energy from the elements   -148.5 meV per atom

```
BaSr2LiPd
1.0
6.022 0.000 0.000
0.000 6.022 0.000
0.000 0.000 5.464
Ba Sr Li Pd
1 2 1 1
Cartesian
0.000 0.000 0.000
0.000 3.011 2.732
3.011 0.000 2.732
3.011 3.011 0.000
3.011 3.011 2.732
```